VASP calculation (GGA-PBE) on crystalline RbCu2Te8Pd at its relaxed geometry.

Cell and atoms, written as CIF:
```
data_RbCu2Te8Pd
_chemical_formula_sum 'Rb1 Cu2 Te8 Pd1'
_symmetry_space_group_name_H-M 'P 1'
_symmetry_Int_Tables_number 1
_cell_length_a 11.768
_cell_length_b 11.768
_cell_length_c 11.768
_cell_angle_alpha 30.25
_cell_angle_beta 30.25
_cell_angle_gamma 30.25
loop_
_symmetry_equiv_pos_as_xyz
'x,y,z'
loop_
_atom_site_label
_atom_site_fract_x
_atom_site_fract_y
_atom_site_fract_z
Rb1 0.000 0.000 0.000
Cu1 0.254 0.254 0.254
Cu2 0.746 0.746 0.746
Te1 0.168 0.786 0.375
Te2 0.214 0.625 0.832
Te3 0.328 0.328 0.328
Te4 0.375 0.168 0.786
Te5 0.625 0.832 0.214
Te6 0.672 0.672 0.672
Te7 0.786 0.375 0.168
Te8 0.832 0.214 0.625
Pd1 0.500 0.500 0.500
```

## Properties
Space group   No. 148
E_form (uncorrected)   -41 meV/atom

=====

VASP calculation (GGA-PBE) on crystalline RbZnCu2Pd at its relaxed geometry.

Cell and atoms, written as CIF:
```
data_RbZnCu2Pd
_chemical_formula_sum 'Rb1 Zn1 Cu2 Pd1'
_symmetry_space_group_name_H-M 'P 1'
_symmetry_Int_Tables_number 1
_cell_length_a 4.899
_cell_length_b 4.899
_cell_length_c 6.056
_cell_angle_alpha 90.00
_cell_angle_beta 90.00
_cell_angle_gamma 90.00
loop_
_symmetry_equiv_pos_as_xyz
'x,y,z'
loop_
_atom_site_label
_atom_site_fract_x
_atom_site_fract_y
_atom_site_fract_z
Rb1 0.000 0.000 0.000
Zn1 0.500 0.500 0.000
Cu1 0.000 0.500 0.500
Cu2 0.500 0.000 0.500
Pd1 0.000 0.000 0.500
```

## Properties
Formation enthalpy at 0 K   329 kJ/mol of formula units
Space group   No. 123

=====

VASP calculation (GGA-PBE) on crystalline CuRePd2 at its relaxed geometry.

Cell and atoms, written as CIF:
```
data_CuRePd2
_chemical_formula_sum 'Cu1 Re1 Pd2'
_symmetry_space_group_name_H-M 'P 1'
_symmetry_Int_Tables_number 1
_cell_length_a 8.947
_cell_length_b 8.947
_cell_length_c 8.947
_cell_angle_alpha 17.73
_cell_angle_beta 17.73
_cell_angle_gamma 17.73
loop_
_symmetry_equiv_pos_as_xyz
'x,y,z'
loop_
_atom_site_label
_atom_site_fract_x
_atom_site_fract_y
_atom_site_fract_z
Cu1 0.000 0.000 0.000
Re1 0.500 0.500 0.500
Pd1 0.252 0.252 0.252
Pd2 0.748 0.748 0.748
```

## Properties
Formation enthalpy at 0 K   15 kJ/mol of formula units
Energy above the most stable polymorph in this dataset   0.033 eV/atom
Space group   No. 166

=====

VASP calculation (GGA-PBE) on crystalline CuRePd3 at its relaxed geometry.

Cell and atoms, written as CIF:
```
data_CuRePd3
_chemical_formula_sum 'Cu1 Re1 Pd3'
_symmetry_space_group_name_H-M 'P 1'
_symmetry_Int_Tables_number 1
_cell_length_a 4.523
_cell_length_b 4.523
_cell_length_c 4.523
_cell_angle_alpha 90.00
_cell_angle_beta 90.00
_cell_angle_gamma 90.00
loop_
_symmetry_equiv_pos_as_xyz
'x,y,z'
loop_
_atom_site_label
_atom_site_fract_x
_atom_site_fract_y
_atom_site_fract_z
Cu1 0.000 0.000 0.000
Re1 0.500 0.500 0.500
Pd1 0.000 0.000 0.500
Pd2 0.000 0.500 0.000
Pd3 0.500 0.000 0.000
```

## Properties
Formation enthalpy at 0 K   640 kJ/mol of formula units
Energy above the most stable polymorph in this dataset   0.000 eV/atom
Space group   No. 221

=====

VASP calculation (GGA-PBE) on crystalline CuRe3Pd at its relaxed geometry.

Cell and atoms, written as CIF:
```
data_CuRe3Pd
_chemical_formula_sum 'Cu1 Re3 Pd1'
_symmetry_space_group_name_H-M 'P 1'
_symmetry_Int_Tables_number 1
_cell_length_a 4.414
_cell_length_b 4.414
_cell_length_c 4.414
_cell_angle_alpha 90.00
_cell_angle_beta 90.00
_cell_angle_gamma 90.00
loop_
_symmetry_equiv_pos_as_xyz
'x,y,z'
loop_
_atom_site_label
_atom_site_fract_x
_atom_site_fract_y
_atom_site_fract_z
Cu1 0.000 0.000 0.000
Re1 0.000 0.000 0.500
Re2 0.000 0.500 0.000
Re3 0.500 0.000 0.000
Pd1 0.500 0.500 0.500
```

## Properties
Formation enthalpy at 0 K   933 kJ/mol of formula units
Space group   No. 221

=====

VASP calculation (GGA-PBE) on crystalline Cu2RePd4 at its relaxed geometry.

Cell and atoms, written as CIF:
```
data_Cu2RePd4
_chemical_formula_sum 'Cu2 Re1 Pd4'
_symmetry_space_group_name_H-M 'P 1'
_symmetry_Int_Tables_number 1
_cell_length_a 7.036
_cell_length_b 7.036
_cell_length_c 7.036
_cell_angle_alpha 140.09
_cell_angle_beta 140.09
_cell_angle_gamma 57.71
loop_
_symmetry_equiv_pos_as_xyz
'x,y,z'
loop_
_atom_site_label
_atom_site_fract_x
_atom_site_fract_y
_atom_site_fract_z
Cu1 0.098 0.098 0.000
Cu2 0.902 0.902 0.000
Re1 0.500 0.500 0.000
Pd1 0.000 0.500 0.500
Pd2 0.303 0.303 0.000
Pd3 0.500 0.000 0.500
Pd4 0.697 0.697 0.000
```

## Properties
Formation enthalpy at 0 K   698 kJ/mol of formula units
Space group   No. 139

=====

VASP calculation (GGA-PBE) on crystalline CuRe2Pd at its relaxed geometry.

Cell and atoms, written as CIF:
```
data_CuRe2Pd
_chemical_formula_sum 'Cu2 Re4 Pd2'
_symmetry_space_group_name_H-M 'P 1'
_symmetry_Int_Tables_number 1
_cell_length_a 6.763
_cell_length_b 6.763
_cell_length_c 6.763
_cell_angle_alpha 132.37
_cell_angle_beta 132.37
_cell_angle_gamma 69.65
loop_
_symmetry_equiv_pos_as_xyz
'x,y,z'
loop_
_atom_site_label
_atom_site_fract_x
_atom_site_fract_y
_atom_site_fract_z
Cu1 0.000 0.000 0.000
Cu2 0.750 0.250 0.500
Re1 0.111 0.625 0.986
Re2 0.375 0.361 0.486
Re3 0.639 0.125 0.014
Re4 0.875 0.889 0.514
Pd1 0.250 0.750 0.500
Pd2 0.500 0.500 0.000
```

## Properties
Formation enthalpy at 0 K   795 kJ/mol of formula units
Energy above the most stable polymorph in this dataset   1.391 eV/atom
Space group   No. 122

=====

VASP calculation (GGA-PBE) on crystalline Cu3RePd12 at its relaxed geometry.

Cell and atoms, written as CIF:
```
data_Cu3RePd12
_chemical_formula_sum 'Cu3 Re1 Pd12'
_symmetry_space_group_name_H-M 'P 1'
_symmetry_Int_Tables_number 1
_cell_length_a 3.904
_cell_length_b 3.904
_cell_length_c 15.539
_cell_angle_alpha 90.00
_cell_angle_beta 90.00
_cell_angle_gamma 90.00
loop_
_symmetry_equiv_pos_as_xyz
'x,y,z'
loop_
_atom_site_label
_atom_site_fract_x
_atom_site_fract_y
_atom_site_fract_z
Cu1 0.000 0.000 0.000
Cu2 0.000 0.000 0.247
Cu3 0.000 0.000 0.753
Re1 0.000 0.000 0.500
Pd1 0.000 0.500 0.124
Pd2 0.000 0.500 0.377
Pd3 0.000 0.500 0.623
Pd4 0.000 0.500 0.876
Pd5 0.500 0.000 0.124
Pd6 0.500 0.000 0.377
Pd7 0.500 0.000 0.623
Pd8 0.500 0.000 0.876
Pd9 0.500 0.500 0.000
Pd10 0.500 0.500 0.249
Pd11 0.500 0.500 0.500
Pd12 0.500 0.500 0.751
```

## Properties
Formation enthalpy at 0 K   -16 kJ/mol of formula units
Space group   No. 123

=====

VASP calculation (GGA-PBE) on crystalline Cu3RePd at its relaxed geometry.

Cell and atoms, written as CIF:
```
data_Cu3RePd
_chemical_formula_sum 'Cu3 Re1 Pd1'
_symmetry_space_group_name_H-M 'P 1'
_symmetry_Int_Tables_number 1
_cell_length_a 4.604
_cell_length_b 4.604
_cell_length_c 4.604
_cell_angle_alpha 90.00
_cell_angle_beta 90.00
_cell_angle_gamma 90.00
loop_
_symmetry_equiv_pos_as_xyz
'x,y,z'
loop_
_atom_site_label
_atom_site_fract_x
_atom_site_fract_y
_atom_site_fract_z
Cu1 0.000 0.000 0.500
Cu2 0.000 0.500 0.000
Cu3 0.500 0.000 0.000
Re1 0.000 0.000 0.000
Pd1 0.500 0.500 0.500
```

## Properties
Formation enthalpy at 0 K   758 kJ/mol of formula units
Energy above the most stable polymorph in this dataset   0.000 eV/atom
Space group   No. 221

=====

VASP calculation (GGA-PBE) on crystalline Cu4RePd5 at its relaxed geometry.

Cell and atoms, written as CIF:
```
data_Cu4RePd5
_chemical_formula_sum 'Cu4 Re1 Pd5'
_symmetry_space_group_name_H-M 'P 1'
_symmetry_Int_Tables_number 1
_cell_length_a 2.758
_cell_length_b 2.758
_cell_length_c 18.375
_cell_angle_alpha 90.00
_cell_angle_beta 90.00
_cell_angle_gamma 90.00
loop_
_symmetry_equiv_pos_as_xyz
'x,y,z'
loop_
_atom_site_label
_atom_site_fract_x
_atom_site_fract_y
_atom_site_fract_z
Cu1 0.000 0.000 0.098
Cu2 0.000 0.000 0.294
Cu3 0.000 0.000 0.706
Cu4 0.000 0.000 0.902
Re1 0.000 0.000 0.500
Pd1 0.500 0.500 0.000
Pd2 0.500 0.500 0.197
Pd3 0.500 0.500 0.395
Pd4 0.500 0.500 0.605
Pd5 0.500 0.500 0.803
```

## Properties
Formation enthalpy at 0 K   -62 kJ/mol of formula units
Space group   No. 123

=====

VASP calculation (GGA-PBE) on crystalline CuRePd2 at its relaxed geometry.

Cell and atoms, written as CIF:
```
data_CuRePd2
_chemical_formula_sum 'Cu2 Re2 Pd4'
_symmetry_space_group_name_H-M 'P 1'
_symmetry_Int_Tables_number 1
_cell_length_a 5.567
_cell_length_b 5.567
_cell_length_c 5.567
_cell_angle_alpha 103.16
_cell_angle_beta 103.16
_cell_angle_gamma 122.99
loop_
_symmetry_equiv_pos_as_xyz
'x,y,z'
loop_
_atom_site_label
_atom_site_fract_x
_atom_site_fract_y
_atom_site_fract_z
Cu1 0.000 0.000 0.000
Cu2 0.750 0.250 0.500
Re1 0.250 0.750 0.500
Re2 0.500 0.500 0.000
Pd1 0.120 0.625 0.995
Pd2 0.375 0.370 0.495
Pd3 0.630 0.125 0.005
Pd4 0.875 0.880 0.505
```

## Properties
Formation enthalpy at 0 K   296 kJ/mol of formula units
Energy above the most stable polymorph in this dataset   0.762 eV/atom
Space group   No. 122

=====

VASP calculation (GGA-PBE) on crystalline CuRePd3 at its relaxed geometry.

Cell and atoms, written as CIF:
```
data_CuRePd3
_chemical_formula_sum 'Cu1 Re1 Pd3'
_symmetry_space_group_name_H-M 'P 1'
_symmetry_Int_Tables_number 1
_cell_length_a 4.798
_cell_length_b 4.798
_cell_length_c 4.798
_cell_angle_alpha 90.00
_cell_angle_beta 90.00
_cell_angle_gamma 90.00
loop_
_symmetry_equiv_pos_as_xyz
'x,y,z'
loop_
_atom_site_label
_atom_site_fract_x
_atom_site_fract_y
_atom_site_fract_z
Cu1 0.000 0.000 0.000
Re1 0.500 0.500 0.500
Pd1 0.000 0.500 0.500
Pd2 0.500 0.000 0.500
Pd3 0.500 0.500 0.000
```

## Properties
Formation enthalpy at 0 K   672 kJ/mol of formula units
Energy above the most stable polymorph in this dataset   0.067 eV/atom
Space group   No. 221

=====

VASP calculation (GGA-PBE) on crystalline CuRePd2 at its relaxed geometry.

Cell and atoms, written as CIF:
```
data_CuRePd2
_chemical_formula_sum 'Cu1 Re1 Pd2'
_symmetry_space_group_name_H-M 'P 1'
_symmetry_Int_Tables_number 1
_cell_length_a 4.362
_cell_length_b 4.362
_cell_length_c 4.362
_cell_angle_alpha 60.00
_cell_angle_beta 60.00
_cell_angle_gamma 60.00
loop_
_symmetry_equiv_pos_as_xyz
'x,y,z'
loop_
_atom_site_label
_atom_site_fract_x
_atom_site_fract_y
_atom_site_fract_z
Cu1 0.000 0.000 0.000
Re1 0.500 0.500 0.500
Pd1 0.250 0.250 0.250
Pd2 0.750 0.750 0.750
```

## Properties
Formation enthalpy at 0 K   146 kJ/mol of formula units
Energy above the most stable polymorph in this dataset   0.373 eV/atom
Space group   No. 225

=====

Ordered M_tot results: 0.00, 0.00, 0.00, 4.18, 0.00, 0.00, 0.00, 0.54, 0.00, 0.00, 2.97, 0.00, 0.00; unit μB/cell.
Ordered density of states at the Fermi level results: 8.36, 2.08, 3.00, 3.02, 6.01, 7.54, 4.96, 19.65, 3.85, 6.59, 10.15, 4.54, 2.77; unit states/eV/cell.